Version 1
Na3ScGe: optimized geometry, GGA-PBE.

Geometry as extended XYZ:
```
5
Lattice="5.824 0.000 0.000 0.000 5.824 0.000 0.000 0.000 5.824" Properties=species:S:1:pos:R:3 pbc="T T T"
Na 0.000 2.912 0.000
Na 2.912 0.000 0.000
Na 0.000 0.000 2.912
Ge 2.912 2.912 2.912
Sc 0.000 0.000 0.000
```

## Properties
crystal system = cubic
magnetization = 0.2334 μB/atom

Version 2
Na3ScGe: optimized geometry, GGA-PBE.

Geometry as extended XYZ:
```
5
Lattice="-0.531 -3.886 -3.820 -1.992 -3.434 3.770 -5.072 1.756 -1.081" Properties=species:S:1:pos:R:3 pbc="T T T"
Na -2.536 0.878 -0.541
Na -0.266 -1.943 -1.910
Na -0.996 -1.717 1.885
Ge 0.000 0.000 0.000
Sc -3.798 -2.782 -0.566
```

## Properties
crystal system = cubic
magnetization = 0.0000 μB/atom

Best to worst by energy: version 2, version 1.

Version 1
NaScGe3: optimized geometry, GGA-PBE.

Geometry as extended XYZ:
```
5
Lattice="5.173 0.000 0.000 0.000 5.173 0.000 0.000 0.000 5.173" Properties=species:S:1:pos:R:3 pbc="T T T"
Sc 0.000 0.000 0.000
Ge 0.000 0.000 2.587
Ge 2.587 0.000 0.000
Ge 0.000 2.587 0.000
Na 2.587 2.587 2.587
```

## Properties
crystal system = cubic
magnetization = 0.0000 μB/atom

Version 2
NaScGe3: optimized geometry, GGA-PBE.

Geometry as extended XYZ:
```
5
Lattice="-1.504 -4.349 -1.688 1.781 -2.174 4.016 -4.312 0.619 2.247" Properties=species:S:1:pos:R:3 pbc="T T T"
Sc -2.018 -2.952 2.288
Na 0.000 0.000 0.000
Ge -2.156 0.310 1.124
Ge 0.890 -1.087 2.008
Ge -0.752 -2.175 -0.844
```

## Properties
crystal system = cubic
magnetization = 0.0000 μB/atom

Best to worst by energy: version 1, version 2.

Version 1
Na2SiGe: optimized geometry, GGA-PBE.

Geometry as extended XYZ:
```
8
Lattice="11.324 0.000 0.000 0.000 11.324 0.000 5.662 5.662 2.393" Properties=species:S:1:pos:R:3 pbc="T T T"
Si 5.662 11.324 1.196
Si 5.662 5.662 0.000
Na 5.713 2.831 0.598
Na 8.493 11.273 1.795
Na 14.155 11.375 1.795
Na 5.611 8.493 0.598
Ge 11.324 5.662 1.196
Ge 0.000 0.000 0.000
```

## Properties
crystal system = tetragonal
magnetization = 0.0000 μB/atom

Version 2
Na2SiGe: optimized geometry, GGA-PBE.

Geometry as extended XYZ:
```
4
Lattice="0.052 -3.772 -2.363 2.556 -0.214 3.638 -4.885 0.724 2.721" Properties=species:S:1:pos:R:3 pbc="T T T"
Ge 0.049 -2.568 1.409
Na -2.663 -0.085 5.183
Na -3.005 -1.756 0.659
Si -0.820 0.005 1.694
```

## Properties
crystal system = monoclinic
magnetization = 0.0000 μB/atom

Version 3
Na2SiGe: optimized geometry, GGA-PBE.

Geometry as extended XYZ:
```
4
Lattice="0.000 3.482 3.482 3.482 0.000 3.482 3.482 3.482 0.000" Properties=species:S:1:pos:R:3 pbc="T T T"
Ge 3.482 3.482 3.482
Na 5.223 5.223 5.223
Na 1.741 1.741 1.741
Si 0.000 0.000 0.000
```

## Properties
crystal system = cubic
magnetization = 0.0000 μB/atom

Best to worst by energy: version 2, version 1, version 3.

Version 1
NaSiGe: optimized geometry, GGA-PBE.

Geometry as extended XYZ:
```
3
Lattice="2.763 0.000 0.000 0.000 4.787 0.000 0.000 -2.393 4.146" Properties=species:S:1:pos:R:3 pbc="T T T"
Ge 0.462 2.393 1.382
Na 1.843 0.000 2.764
Si 0.459 0.000 0.000
```

## Properties
crystal system = hexagonal
magnetization = 0.0000 μB/atom

Version 2
NaSiGe: optimized geometry, GGA-PBE.

Geometry as extended XYZ:
```
6
Lattice="-0.537 -2.383 3.021 0.923 -3.761 -0.305 10.266 0.141 4.436" Properties=species:S:1:pos:R:3 pbc="T T T"
Si 7.008 -2.105 4.582
Si 7.104 -3.970 3.128
Ge 2.782 -2.825 0.765
Ge 1.065 -3.387 2.514
Na 4.129 -2.728 3.579
Na 9.982 -3.344 4.134
```

## Properties
crystal system = monoclinic
magnetization = 0.0000 μB/atom

Best to worst by energy: version 2, version 1.